## a
DFT (PBE) results for a relaxed structure of KCoMo2.

Unit cell a=2.920 b=4.604 c=5.204 alpha=90.00 beta=90.00 gamma=90.00
Element x y z (fractional)
1 Co 0.500 0.000 0.500
2 K 0.000 0.500 0.500
3 Mo 0.000 0.000 0.000
4 Mo 0.500 0.500 0.000

Output
Its crystal system is orthorhombic. The space group is Pmmm, No. 47. The value obtained for the magnetization is 0.7 μB per formula unit.

## b
DFT (PBE) results for a relaxed structure of KCoMo2.

Unit cell a=4.922 b=4.922 c=2.693 alpha=90.00 beta=90.00 gamma=90.00
Element x y z (fractional)
1 Co 0.500 0.000 0.500
2 K 0.000 0.500 0.500
3 Mo 0.000 0.000 0.000
4 Mo 0.500 0.500 0.000

Output
Its crystal system is tetragonal. The space group is P4/mmm, No. 123. The value obtained for the magnetization is 0.5 μB per formula unit.

a ends up most stable, edging out the next structure by 0.305 eV/atom.

## a
DFT (PBE) results for a relaxed structure of KCoMo.

Unit cell a=7.295 b=7.295 c=7.295 alpha=156.14 beta=156.14 gamma=34.00
Element x y z (fractional)
1 Co 0.037 0.037 0.000
2 K 0.347 0.347 0.000
3 Mo 0.617 0.617 0.000

Output
Its crystal system is tetragonal. The space group is I4mm, No. 107. The value obtained for the magnetization is 0.0 μB per formula unit.

## b
DFT (PBE) results for a relaxed structure of KCoMo.

Unit cell a=2.894 b=2.894 c=7.796 alpha=90.00 beta=90.00 gamma=120.00
Element x y z (fractional)
1 Co 0.000 0.000 0.957
2 K 0.667 0.333 0.317
3 Mo 0.333 0.667 0.725

Output
Its crystal system is trigonal. The space group is P3m1, No. 156. The value obtained for the magnetization is 0.6 μB per formula unit.

## c
DFT (PBE) results for a relaxed structure of KCoMo.

Unit cell a=4.859 b=4.859 c=4.859 alpha=60.00 beta=60.00 gamma=60.00
Element x y z (fractional)
1 Co 0.500 0.500 0.500
2 K 0.750 0.750 0.750
3 Mo 0.000 0.000 0.000

Output
Its crystal system is cubic. The space group is F-43m, No. 216. The value obtained for the magnetization is 6.0 μB per formula unit.

a ends up most stable, edging out the next structure by 0.154 eV/atom.